# Sr2PuSnO6 PBE relaxed
# **Electronic total energy**: -76.72 eV/cell
# **D(E_F)**: 4.5 states/eV per cell
# **Formation energy without anion corrections**: -2.527 eV/atom
data_Sr2PuSnO6
_chemical_formula_sum 'Sr2 Pu1 Sn1 O6'
_space_group_name_H-M_alt 'P 4/m m m'
_space_group_IT_number 123
_space_group_name_Hall '-P 4 2'
_cell_length_a 4.2441
_cell_length_b 4.2441
_cell_length_c 8.5565
_cell_angle_alpha 90.00
_cell_angle_beta 90.00
_cell_angle_gamma 90.00
loop_
_atom_site_label
_atom_site_type_symbol
_atom_site_fract_x
_atom_site_fract_y
_atom_site_fract_z
Sr1 Sr 0.0000 0.0000 0.2276
Pu1 Pu 0.5000 0.5000 0.5000
Sn1 Sn 0.5000 0.5000 0.0000
O1 O 0.0000 0.5000 0.0000
O2 O 0.0000 0.5000 0.5000
O3 O 0.5000 0.5000 0.2376